1.
HfTlGa2 | GGA-PBE | optimized geometry

Results
volume	21.48	Å³/atom
crystal system	cubic
VASP energy	-4.303	eV per atom
symmetry	F-43m, No. 216

a = 4.953 Å, b = 4.953 Å, c = 4.953 Å
α = 60.00°, β = 60.00°, γ = 60.00°
Atoms (fractional coordinates):
Ga 0.000 0.000 0.000
Ga 0.750 0.750 0.750
Hf 0.250 0.250 0.250
Tl 0.500 0.500 0.500

2.
Ho4Co3Pd | GGA-PBE | optimized geometry

Results
energy relative to the elements	-364	meV per atom
volume	20.06	Å³/atom
crystal system	monoclinic
VASP energy	-5.964	eV per atom
symmetry	Pm, No. 6

a = 5.607 Å, b = 3.913 Å, c = 7.315 Å
α = 90.00°, β = 90.13°, γ = 90.00°
Atoms (fractional coordinates):
Co 0.106 0.500 0.031
Co 0.357 0.500 0.541
Co 0.899 0.000 0.976
Ho 0.623 0.500 0.166
Ho 0.129 0.000 0.324
Ho 0.881 0.500 0.686
Ho 0.369 0.000 0.816
Pd 0.635 0.000 0.459

3.
TbTe3PdPb | GGA-PBE | optimized geometry

Results
volume	29.41	Å³/atom
excess energy over the best structure of this formula in the dataset	0	meV/atom
crystal system	orthorhombic
VASP energy	-4.591	eV per atom
symmetry	Cmcm, No. 63

a = 7.784 Å, b = 7.784 Å, c = 11.386 Å
α = 90.00°, β = 90.00°, γ = 149.23°
Atoms (fractional coordinates):
Pb 0.794 0.206 0.250
Pb 0.206 0.794 0.750
Pd 0.459 0.541 0.250
Pd 0.541 0.459 0.750
Tb 0.000 0.000 0.000
Tb 0.000 0.000 0.500
Te 0.353 0.647 0.048
Te 0.079 0.921 0.250
Te 0.353 0.647 0.452
Te 0.647 0.353 0.548
Te 0.921 0.079 0.750
Te 0.647 0.353 0.952

4.
ZrCoSnPt | GGA-PBE | optimized geometry

Results
volume	17.29	Å³/atom
excess energy over the best structure of this formula in the dataset	217	meV/atom
crystal system	cubic
VASP energy	-6.694	eV per atom
symmetry	F-43m, No. 216

a = 4.608 Å, b = 4.608 Å, c = 4.608 Å
α = 60.00°, β = 60.00°, γ = 60.00°
Each line ends with the local moment (μB).
Atoms (fractional coordinates):
Co 0.750 0.750 0.750  1.41
Pt 0.500 0.500 0.500  -0.01
Sn 0.000 0.000 0.000  -0.03
Zr 0.250 0.250 0.250  0.02

5.
RbSm3F10 | GGA-PBE | optimized geometry

Results
volume	14.36	Å³/atom
crystal system	cubic
VASP energy	-6.354	eV per atom
symmetry	Fm-3m, No. 225

a = 8.286 Å, b = 8.286 Å, c = 8.286 Å
α = 60.00°, β = 60.00°, γ = 60.00°
Atoms (fractional coordinates):
F 0.335 0.000 0.000
F 0.665 0.000 0.000
F 0.000 0.335 0.000
F 0.665 0.335 0.000
F 0.000 0.665 0.000
F 0.335 0.665 0.000
F 0.612 0.612 0.163
F 0.665 0.000 0.335
F 0.000 0.665 0.335
F 0.000 0.000 0.335
F 0.388 0.388 0.388
F 0.837 0.388 0.388
F 0.388 0.837 0.388
F 0.612 0.163 0.612
F 0.163 0.612 0.612
F 0.612 0.612 0.612
F 0.000 0.000 0.665
F 0.000 0.335 0.665
F 0.335 0.000 0.665
F 0.388 0.388 0.837
Rb 0.250 0.250 0.250
Rb 0.750 0.750 0.750
Sm 0.739 0.261 0.261
Sm 0.261 0.739 0.261
Sm 0.739 0.739 0.261
Sm 0.261 0.261 0.739
Sm 0.739 0.261 0.739
Sm 0.261 0.739 0.739

6.
Sr2Zn2TeSeO2 | GGA-PBE | optimized geometry

Results
volume	22.40	Å³/atom
crystal system	trigonal
VASP energy	-4.517	eV per atom
symmetry	P3m1, No. 156

a = 4.119 Å, b = 4.119 Å, c = 12.196 Å
α = 90.00°, β = 90.00°, γ = 120.00°
Atoms (fractional coordinates):
O 0.667 0.333 0.175
O 0.667 0.333 0.656
Se 0.000 0.000 0.423
Sr 0.333 0.667 0.225
Sr 0.000 0.000 0.707
Te 0.333 0.667 0.923
Zn 0.667 0.333 0.017
Zn 0.667 0.333 0.498

7.
CdGa2Te3Se | GGA-PBE | optimized geometry

Results
volume	31.94	Å³/atom
crystal system	triclinic
VASP energy	-3.276	eV per atom
symmetry	P1, No. 1

a = 6.142 Å, b = 6.191 Å, c = 7.264 Å
α = 114.97°, β = 113.52°, γ = 91.19°
Atoms (fractional coordinates):
Cd 0.991 0.988 0.995
Ga 0.744 0.262 0.509
Ga 0.507 0.504 0.994
Se 0.601 0.600 0.732
Te 0.889 0.419 0.276
Te 0.386 0.860 0.277
Te 0.133 0.116 0.716

8.
HfTc2Sn | GGA-PBE | optimized geometry

Results
volume	18.49	Å³/atom
crystal system	hexagonal
VASP energy	-8.735	eV per atom
symmetry	P6_3/mmc, No. 194

a = 4.630 Å, b = 4.630 Å, c = 7.969 Å
α = 90.00°, β = 90.00°, γ = 120.00°
Atoms (fractional coordinates):
Hf 0.000 0.000 0.000
Hf 0.000 0.000 0.500
Sn 0.333 0.667 0.250
Sn 0.667 0.333 0.750
Tc 0.667 0.333 0.098
Tc 0.667 0.333 0.402
Tc 0.333 0.667 0.598
Tc 0.333 0.667 0.902

9.
LaHfPt | GGA-PBE | optimized geometry

Results
energy relative to the elements	-381	meV per atom
volume	26.61	Å³/atom
excess energy over the best structure of this formula in the dataset	475	meV/atom
crystal system	cubic
VASP energy	-7.359	eV per atom
symmetry	F-43m, No. 216

a = 4.833 Å, b = 4.833 Å, c = 4.833 Å
α = 60.00°, β = 60.00°, γ = 60.00°
Atoms (fractional coordinates):
Hf 0.250 0.250 0.250
La 0.750 0.750 0.750
Pt 0.000 0.000 0.000

10.
NdY | GGA-PBE | optimized geometry

Results
energy relative to the elements	1798	meV per atom
volume	39.61	Å³/atom
excess energy over the best structure of this formula in the dataset	1770	meV/atom
crystal system	cubic
VASP energy	-3.816	eV per atom
symmetry	F-43m, No. 216

a = 4.821 Å, b = 4.821 Å, c = 4.821 Å
α = 60.00°, β = 60.00°, γ = 60.00°
Atoms (fractional coordinates):
Nd 0.000 0.000 0.000
Y 0.250 0.250 0.250

11.
YNi2Hg2 | GGA-PBE | optimized geometry

Results
energy relative to the elements	-135	meV per atom
volume	18.32	Å³/atom
crystal system	tetragonal
VASP energy	-3.774	eV per atom
symmetry	P4/mbm, No. 127

a = 7.030 Å, b = 7.030 Å, c = 3.707 Å
α = 90.00°, β = 90.00°, γ = 90.00°
Atoms (fractional coordinates):
Hg 0.668 0.168 0.500
Hg 0.168 0.332 0.500
Hg 0.832 0.668 0.500
Hg 0.332 0.832 0.500
Ni 0.376 0.124 0.000
Ni 0.876 0.376 0.000
Ni 0.124 0.624 0.000
Ni 0.624 0.876 0.000
Y 0.000 0.000 0.000
Y 0.500 0.500 0.000

12.
TbTmInTe3 | GGA-PBE | optimized geometry

Results
volume	32.58	Å³/atom
excess energy over the best structure of this formula in the dataset	7	meV/atom
crystal system	orthorhombic
VASP energy	-4.458	eV per atom
symmetry	Cmcm, No. 63

a = 7.870 Å, b = 7.870 Å, c = 11.994 Å
α = 90.00°, β = 90.00°, γ = 148.25°
Atoms (fractional coordinates):
In 0.759 0.241 0.250
In 0.241 0.759 0.750
Tb 0.082 0.918 0.250
Tb 0.918 0.082 0.750
Te 0.144 0.856 0.017
Te 0.442 0.558 0.250
Te 0.144 0.856 0.483
Te 0.856 0.144 0.517
Te 0.558 0.442 0.750
Te 0.856 0.144 0.983
Tm 0.500 0.500 0.000
Tm 0.500 0.500 0.500